Computed, not measured: PrHo2Pt after structural relaxation at the PBE level of DFT.

Summary:
For the total magnetic moment, the calculation gives 0.00 μB/atom. The energy above the most stable polymorph in this dataset comes out at 0.0 meV per atom. Its formation enthalpy at 0 K is -0.69 eV/atom.

```
16
Lattice="7.168 0.000 0.000 0.000 9.635 0.000 0.000 0.000 6.575" Properties=species:S:1:pos:R:3 pbc="T T T"
Pr 0.150 2.409 0.879
Pr 3.433 7.226 4.167
Pr 3.734 2.409 2.408
Pr 7.017 7.226 5.696
Ho 1.268 0.606 4.423
Ho 1.268 4.211 4.423
Ho 2.316 5.424 1.135
Ho 2.316 9.029 1.135
Ho 4.852 0.606 5.440
Ho 4.852 4.211 5.440
Ho 5.899 5.424 2.152
Ho 5.899 9.029 2.152
Pt 0.822 7.226 2.799
Pt 2.762 2.409 6.087
Pt 4.406 7.226 0.488
Pt 6.345 2.409 3.776
```



Computed, not measured: CaMnCo after structural relaxation at the PBE level of DFT.

Summary:
For the total magnetic moment, the calculation gives 0.65 μB/atom. The energy above the most stable polymorph in this dataset comes out at 12.6 meV per atom. Its formation enthalpy at 0 K is 0.21 eV/atom.

```
6
Lattice="4.040 0.000 0.000 0.000 4.040 0.000 0.000 0.000 6.943" Properties=species:S:1:pos:R:3 pbc="T T T"
Ca 1.010 1.010 1.169
Ca 3.030 3.030 5.774
Mn 1.010 3.030 3.472
Mn 3.030 1.010 3.472
Co 1.010 1.010 4.539
Co 3.030 3.030 2.404
```



Computed, not measured: Dy2ErHfSb4 after structural relaxation at the PBE level of DFT.

Summary:
For the total magnetic moment, the calculation gives 0.00 μB/atom. The calculation puts the raw formation energy at -7.48 eV per formula unit.

```
8
Lattice="7.441 0.000 0.000 0.000 4.294 0.000 -2.460 0.000 7.023" Properties=species:S:1:pos:R:3 pbc="T T T"
Dy 0.000 0.000 0.000
Dy 3.720 2.147 0.000
Er -1.230 2.147 3.512
Hf 2.491 0.000 3.512
Sb 0.070 0.000 5.212
Sb 1.298 2.147 1.846
Sb 3.683 2.147 5.177
Sb 4.911 0.000 1.811
```



Computed, not measured: Tb2Y7Th2 after structural relaxation at the PBE level of DFT.

Summary:
For the total magnetic moment, the calculation gives 0.00 μB/atom. The energy above the most stable polymorph in this dataset comes out at 0.0 meV per atom. Its formation enthalpy at 0 K is 0.19 eV/atom.

```
11
Lattice="5.580 -5.758 0.000 5.580 5.758 0.000 -2.362 0.000 5.637" Properties=species:S:1:pos:R:3 pbc="T T T"
Tb 5.580 3.234 0.000
Tb 5.580 -3.234 0.000
Y -1.181 0.000 2.818
Y 2.860 3.030 1.847
Y 2.399 0.000 0.489
Y 5.938 3.030 3.790
Y 2.860 -3.030 1.847
Y 6.399 0.000 5.148
Y 5.938 -3.030 3.790
Th 3.044 0.000 3.923
Th 5.754 0.000 1.714
```



Computed, not measured: Ca4Hg3 after structural relaxation at the PBE level of DFT.

Summary:
For the total magnetic moment, the calculation gives 0.00 μB/atom. The energy above the most stable polymorph in this dataset comes out at 0.0 meV per atom. Its formation enthalpy at 0 K is -0.46 eV/atom.

```
7
Lattice="2.678 1.546 8.603 -2.678 1.546 8.603 0.000 -3.092 8.603" Properties=species:S:1:pos:R:3 pbc="T T T"
Ca 0.000 0.000 3.213
Ca 0.000 0.000 9.687
Ca 0.000 0.000 16.123
Ca 0.000 0.000 22.596
Hg 0.000 0.000 0.000
Hg 0.000 0.000 6.411
Hg 0.000 0.000 19.398
```



Computed, not measured: GaSnBr4 after structural relaxation at the PBE level of DFT.

Summary:
For the total magnetic moment, the calculation gives 0.00 μB/atom. The calculation puts the raw formation energy at -3.80 eV per formula unit. The energy above the most stable polymorph in this dataset comes out at 0.0 meV per atom.

```
12
Lattice="8.195 0.000 0.000 0.000 7.545 0.000 0.000 0.000 7.163" Properties=species:S:1:pos:R:3 pbc="T T T"
Ga 0.000 0.985 0.000
Ga 4.098 6.560 3.582
Sn 0.000 3.958 4.266
Sn 4.098 3.587 0.684
Br 0.000 1.738 2.402
Br 0.000 6.291 5.946
Br 1.964 2.385 6.072
Br 2.133 5.160 2.490
Br 4.098 1.254 2.364
Br 4.098 5.807 5.984
Br 6.062 5.160 2.490
Br 6.231 2.385 6.072
```



Computed, not measured: Ni2HgCl after structural relaxation at the PBE level of DFT.

Summary:
For the total magnetic moment, the calculation gives 0.27 μB/atom. The calculation puts the raw formation energy at 0.51 eV per formula unit. The energy above the most stable polymorph in this dataset comes out at 47.9 meV per atom.

```
4
Lattice="3.109 0.000 0.000 0.000 3.154 0.000 -0.017 0.000 7.165" Properties=species:S:1:pos:R:3 pbc="T T T"
Ni 0.000 0.000 0.000
Ni 1.535 1.577 5.953
Hg 1.556 1.577 1.585
Cl 1.557 0.000 4.370
```



Computed, not measured: BaDy3Ru after structural relaxation at the PBE level of DFT.

Summary:
For the total magnetic moment, the calculation gives 0.00 μB/atom. Its formation enthalpy at 0 K is -0.11 eV/atom.

```
5
Lattice="5.528 0.000 0.000 0.000 5.528 0.000 0.000 0.000 5.528" Properties=species:S:1:pos:R:3 pbc="T T T"
Ba 0.000 0.000 0.000
Dy 0.000 2.764 2.764
Dy 2.764 0.000 2.764
Dy 2.764 2.764 0.000
Ru 2.764 2.764 2.764
```



Computed, not measured: NpGa2Tc after structural relaxation at the PBE level of DFT.

Summary:
For the total magnetic moment, the calculation gives 0.58 μB/atom. The energy above the most stable polymorph in this dataset comes out at 231.2 meV per atom. Its formation enthalpy at 0 K is 0.01 eV/atom.

```
16
Lattice="6.560 0.000 0.000 0.000 6.560 0.000 0.000 0.000 6.560" Properties=species:S:1:pos:R:3 pbc="T T T"
Np 0.000 0.000 0.000
Np 0.000 3.280 3.280
Np 3.280 0.000 3.280
Np 3.280 3.280 0.000
Ga 1.640 1.640 1.640
Ga 1.640 1.640 4.920
Ga 1.640 4.920 1.640
Ga 1.640 4.920 4.920
Ga 4.920 1.640 1.640
Ga 4.920 1.640 4.920
Ga 4.920 4.920 1.640
Ga 4.920 4.920 4.920
Tc 0.000 0.000 3.280
Tc 0.000 3.280 0.000
Tc 3.280 0.000 0.000
Tc 3.280 3.280 3.280
```



Computed, not measured: RbCo3Ge after structural relaxation at the PBE level of DFT.

Summary:
For the total magnetic moment, the calculation gives 1.09 μB/atom. The energy above the most stable polymorph in this dataset comes out at 0.0 meV per atom. Its formation enthalpy at 0 K is 0.95 eV/atom.

```
5
Lattice="4.692 0.000 0.000 0.000 4.692 0.000 0.000 0.000 4.692" Properties=species:S:1:pos:R:3 pbc="T T T"
Rb 0.000 0.000 0.000
Co 0.000 2.346 2.346
Co 2.346 0.000 2.346
Co 2.346 2.346 0.000
Ge 2.346 2.346 2.346
```



Computed, not measured: MnAgSb2 after structural relaxation at the PBE level of DFT.

Summary:
For the total magnetic moment, the calculation gives 0.00 μB/atom. The calculation puts the raw formation energy at 2.22 eV per formula unit.

```
16
Lattice="6.777 0.000 0.000 0.000 6.777 0.000 0.000 0.000 6.777" Properties=species:S:1:pos:R:3 pbc="T T T"
Mn 0.000 0.000 0.000
Mn 0.000 3.389 3.389
Mn 3.389 0.000 3.389
Mn 3.389 3.389 0.000
Ag 0.000 0.000 3.389
Ag 0.000 3.389 0.000
Ag 3.389 0.000 0.000
Ag 3.389 3.389 3.389
Sb 1.694 1.694 1.694
Sb 1.694 1.694 5.083
Sb 1.694 5.083 1.694
Sb 1.694 5.083 5.083
Sb 5.083 1.694 1.694
Sb 5.083 1.694 5.083
Sb 5.083 5.083 1.694
Sb 5.083 5.083 5.083
```



Computed, not measured: TcTeBr4 after structural relaxation at the PBE level of DFT.

Summary:
For the total magnetic moment, the calculation gives 0.67 μB/atom. The calculation puts the raw formation energy at 6.84 eV per formula unit.

```
6
Lattice="0.000 4.377 4.377 4.377 0.000 4.377 4.377 4.377 0.000" Properties=species:S:1:pos:R:3 pbc="T T T"
Tc 0.000 0.000 0.000
Te 6.565 6.565 6.565
Br 3.278 3.278 3.278
Br 5.476 5.476 3.278
Br 5.476 3.278 5.476
Br 3.278 5.476 5.476
```